# NaSe2Br8

Crystalline NaSe2Br8 at its relaxed geometry (PBE, the Alexandria database).

The total moment comes out at 0.00 μB per atom. The calculation puts the total energy at -2.2181 eV/atom.

The space group is C2/m (No. 12) and the conventional cell measures 13.2101, 9.9514 and 7.3182 Å, with angles of 90.00, 102.69 and 90.00 degrees. The asymmetric unit holds Na at (0.0000, 0.0000, 0.0000), Se at (0.2022, 0.0000, 0.6713), Br at (0.1046, 0.1935, 0.8119), Br at (0.1199, 0.5000, 0.1669) and Br at (0.2102, 0.0000, 0.3377).

# NaSeBr3

Crystalline NaSeBr3 at its relaxed geometry (PBE, the Alexandria database).

The calculation puts the energy above the lowest structure with this stoichiometry at 341 kJ/mol of formula units. The total moment comes out at 0.80 μB per atom. The calculation puts the total energy at -1.8758 eV/atom.

The space group is Pm-3m (No. 221) and the conventional cell measures 5.5892, 5.5892 and 5.5892 Å, with angles of 90.00, 90.00 and 90.00 degrees. The asymmetric unit holds Na at (0.0000, 0.0000, 0.0000), Se at (0.5000, 0.5000, 0.5000) and Br at (0.0000, 0.0000, 0.5000).

# NaSe2Br

Crystalline NaSe2Br at its relaxed geometry (PBE, the Alexandria database).

The calculation puts the energy above the lowest structure with this stoichiometry at 94 kJ/mol of formula units. The total moment comes out at 0.00 μB per atom. The calculation puts the total energy at -2.2800 eV/atom.

The space group is R-3m (No. 166, hexagonal axes) and the conventional cell measures 3.0535, 3.0535 and 41.0132 Å, with angles of 90.00, 90.00 and 120.00 degrees. The asymmetric unit holds Na at (0.0000, 0.0000, 0.0000), Se at (0.0000, 0.0000, 0.0657) and Br at (0.0000, 0.0000, 0.5000).